<one>
A plane-wave DFT calculation with PBE was carried out for crystalline Zr2Al2In at its relaxed geometry.

Output
Size of the total moment   0.00 μB/f.u.

a = 7.0728 Å, b = 7.0728 Å, c = 4.0238 Å
α = 90.00°, β = 90.00°, γ = 90.00°
Closest atoms and distances in Å follow each position.
Space group P4/mbm (No. 127)
Asymmetric unit:
Zr 0.1742 0.3258 0.0000 [4 per cell]  6 Al 2.84-2.94
Al 0.1247 0.6247 0.5000 [4 per cell]  1 Al 2.49
In 0.0000 0.0000 0.5000 [2 per cell]  4 Al 2.80

<two>
A plane-wave DFT calculation with PBE was carried out for crystalline Zr2Al2In at its relaxed geometry.

Output
Size of the total moment   0.00 μB/f.u.

a = 8.0642 Å, b = 8.0642 Å, c = 3.3207 Å
α = 90.00°, β = 90.00°, γ = 90.00°
Closest atoms and distances in Å follow each position.
Space group P4/mbm (No. 127)
Asymmetric unit:
Zr 0.1307 0.3693 0.0000 [4 per cell]  6 Al 2.80-2.97, 1 Zr 2.98
Al 0.1715 0.6715 0.5000 [4 per cell]  6 Zr 2.80-2.97
In 0.0000 0.0000 0.0000 [2 per cell]  4 Zr 3.16, 2 In 3.32, 8 Al 3.42

Which is most stable? The ranking, best first, is <one>, <two>.

<one>
A plane-wave DFT calculation with PBE was carried out for crystalline Zr2AlIn2 at its relaxed geometry.

Output
Size of the total moment   0.00 μB/f.u.

a = 7.2688 Å, b = 7.2688 Å, c = 4.4306 Å
α = 90.00°, β = 90.00°, γ = 90.00°
Closest atoms and distances in Å follow each position.
Space group P4/mbm (No. 127)
Asymmetric unit:
Zr 0.1545 0.3455 0.0000 [4 per cell]  2 Al 2.75, 2 In 2.97
Al 0.0000 0.0000 0.0000 [2 per cell]  4 Zr 2.75
In 0.1526 0.6526 0.5000 [4 per cell]  6 Zr 2.97-3.15, 1 In 3.14

<two>
A plane-wave DFT calculation with PBE was carried out for crystalline Zr2AlIn2 at its relaxed geometry.

Output
Size of the total moment   0.00 μB/f.u.

a = 7.1458 Å, b = 7.1458 Å, c = 4.3118 Å
α = 90.00°, β = 90.00°, γ = 90.00°
Closest atoms and distances in Å follow each position.
Space group P4/mbm (No. 127)
Asymmetric unit:
Zr 0.1725 0.3275 0.0000 [4 per cell]  6 In 2.90-3.09
Al 0.0000 0.0000 0.5000 [2 per cell]  4 In 2.78
In 0.1355 0.6355 0.5000 [4 per cell]  1 In 2.74, 2 Al 2.78, 2 Zr 2.90

Which is most stable? The ranking, best first, is <two>, <one>.

<one>
A plane-wave DFT calculation with PBE was carried out for crystalline Zr3AlIn at its relaxed geometry.

Output
Size of the total moment   0.00 μB/f.u.

a = 6.9787 Å, b = 6.9787 Å, c = 5.4382 Å
α = 90.00°, β = 90.00°, γ = 120.00°
Closest atoms and distances in Å follow each position.
Space group P6_3/mmc (No. 194)
Asymmetric unit:
Zr 0.1899 0.3798 0.2500 [6 per cell]  2 Al 2.67
Al 0.0000 0.0000 0.0000 [2 per cell]  6 Zr 2.67, 2 Al 2.72
In 0.3333 0.6667 0.7500 [2 per cell]  12 Zr 3.22-3.50

<two>
A plane-wave DFT calculation with PBE was carried out for crystalline Zr3AlIn at its relaxed geometry.

Output
Size of the total moment   0.00 μB/f.u.

a = 5.0234 Å, b = 5.0234 Å, c = 5.0234 Å
α = 90.00°, β = 90.00°, γ = 90.00°
Closest atoms and distances in Å follow each position.
Space group Pm-3m (No. 221)
Asymmetric unit:
Zr 0.0000 0.0000 0.5000 [3 per cell]  2 Al 2.51
Al 0.0000 0.0000 0.0000 [1 per cell]  6 Zr 2.51
In 0.5000 0.5000 0.5000 [1 per cell]  12 Zr 3.55

Which is most stable? The ranking, best first, is <one>, <two>.